# 1
# BaRhCl2, optimized geometry, DFT GGA-PBE
data_BaRhCl2
_cell_length_a 4.0601
_cell_length_b 5.7064
_cell_length_c 8.3071
_cell_angle_alpha 90.00
_cell_angle_beta 90.00
_cell_angle_gamma 90.00
_space_group_name_H-M_alt 'I m m m'
_space_group_IT_number 71
_space_group_name_Hall '-I 2 2'
loop_
_atom_site_label
_atom_site_fract_x
_atom_site_fract_y
_atom_site_fract_z
_atom_site_occupancy
Ba1 0.0000 0.0000 0.0000 1
Rh1 0.0000 0.0000 0.5000 1
Cl1 0.0000 0.5000 0.1910 1
# Energy above the lowest structure with this stoichiometry ... 0.000 eV per atom
# Energy ... -4.326 eV per atom
# ΔE_f (raw) ... -419 kJ/mol of formula units
# Total magnetization ... 0.2469 μB per atom

---

# 2
# BaMn, optimized geometry, DFT GGA-PBE
data_BaMn
_cell_length_a 4.3573
_cell_length_b 13.7421
_cell_length_c 7.0817
_cell_angle_alpha 90.00
_cell_angle_beta 90.00
_cell_angle_gamma 90.00
_space_group_name_H-M_alt 'I m m 2'
_space_group_IT_number 44
loop_
_space_group_symop_operation_xyz
'x,y,z'
'-x,-y,z'
'-x,y,z'
'x,-y,z'
'x+1/2,y+1/2,z+1/2'
'-x+1/2,-y+1/2,z+1/2'
'-x+1/2,y+1/2,z+1/2'
'x+1/2,-y+1/2,z+1/2'
loop_
_atom_site_label
_atom_site_fract_x
_atom_site_fract_y
_atom_site_fract_z
_atom_site_occupancy
Ba1 0.0000 0.0000 0.0000 1
Ba2 0.0000 0.2874 0.2272 1
Mn1 0.0000 0.0000 0.4745 1
Mn2 0.0000 0.4095 0.8099 1
# Energy ... -4.964 eV per atom
# Total magnetization ... 1.7891 μB per atom
# Calculated formation energy ... 582 meV/atom

---

# 3
# BaMn3Co, optimized geometry, DFT GGA-PBE
data_BaMn3Co
_cell_length_a 5.0271
_cell_length_b 5.0271
_cell_length_c 5.0271
_cell_angle_alpha 90.00
_cell_angle_beta 90.00
_cell_angle_gamma 90.00
_space_group_name_H-M_alt 'P m -3 m'
_space_group_IT_number 221
_space_group_name_Hall '-P 4 2 3'
loop_
_atom_site_label
_atom_site_fract_x
_atom_site_fract_y
_atom_site_fract_z
_atom_site_occupancy
Ba1 0.0000 0.0000 0.0000 1
Mn1 0.0000 0.0000 0.5000 1
Co1 0.5000 0.5000 0.5000 1
# Energy above the lowest structure with this stoichiometry ... 1.975 eV per atom
# Energy ... -4.718 eV per atom
# Total magnetization ... 2.1835 μB per atom
# Calculated formation energy ... 2590 meV/atom

---

# 4
# Cd2In2Ge, optimized geometry, DFT GGA-PBE
data_Cd2In2Ge
_cell_length_a 4.1837
_cell_length_b 4.1837
_cell_length_c 14.7659
_cell_angle_alpha 90.00
_cell_angle_beta 90.00
_cell_angle_gamma 90.00
_space_group_name_H-M_alt 'I 4/m m m'
_space_group_IT_number 139
_space_group_name_Hall '-I 4 2'
loop_
_atom_site_label
_atom_site_fract_x
_atom_site_fract_y
_atom_site_fract_z
_atom_site_occupancy
Cd1 0.0000 0.0000 0.0935 1
In1 0.0000 0.5000 0.2500 1
Ge1 0.0000 0.0000 0.5000 1
# Energy above the lowest structure with this stoichiometry ... 0.114 eV per atom
# Energy ... -2.105 eV per atom
# Total magnetization ... 0.0000 μB per atom
# Calculated formation energy ... 280 meV/atom

---

# 5
# CePPt, optimized geometry, DFT GGA-PBE
data_CePPt
_cell_length_a 5.7594
_cell_length_b 12.6356
_cell_length_c 13.5606
_cell_angle_alpha 90.00
_cell_angle_beta 90.00
_cell_angle_gamma 90.00
_space_group_name_H-M_alt 'F d d d'
_space_group_IT_number 70
loop_
_space_group_symop_operation_xyz
'x,y,z'
'-x,-y,-z'
'-x+1/4,-y+1/4,z'
'x+1/4,y+1/4,-z'
'x,-y+1/4,-z+1/4'
'-x,y+1/4,z+1/4'
'-x+1/4,y,-z+1/4'
'x+1/4,-y,z+1/4'
'x,y+1/2,z+1/2'
'-x,-y+1/2,-z+1/2'
'-x+1/4,-y+3/4,z+1/2'
'x+1/4,y+3/4,-z+1/2'
'x,-y+3/4,-z+3/4'
'-x,y+3/4,z+3/4'
'-x+1/4,y+1/2,-z+3/4'
'x+1/4,-y+1/2,z+3/4'
'x+1/2,y,z+1/2'
'-x+1/2,-y,-z+1/2'
'-x+3/4,-y+1/4,z+1/2'
'x+3/4,y+1/4,-z+1/2'
'x+1/2,-y+1/4,-z+3/4'
'-x+1/2,y+1/4,z+3/4'
'-x+3/4,y,-z+3/4'
'x+3/4,-y,z+3/4'
'x+1/2,y+1/2,z'
'-x+1/2,-y+1/2,-z'
'-x+3/4,-y+3/4,z'
'x+3/4,y+3/4,-z'
'x+1/2,-y+3/4,-z+1/4'
'-x+1/2,y+3/4,z+1/4'
'-x+3/4,y+1/2,-z+1/4'
'x+3/4,-y+1/2,z+1/4'
loop_
_atom_site_label
_atom_site_fract_x
_atom_site_fract_y
_atom_site_fract_z
_atom_site_occupancy
Ce1 0.1250 0.1250 0.3203 1
P1 0.0000 0.0000 0.5000 1
Pt1 0.1228 0.3750 0.8750 1
# Energy ... -6.533 eV per atom
# Total magnetization ... 0.1923 μB per atom
# Calculated formation energy ... -738 meV/atom

---

# 6
# BeHRh2, optimized geometry, DFT GGA-PBE
data_BeHRh2
_cell_length_a 2.7722
_cell_length_b 2.7722
_cell_length_c 17.7360
_cell_angle_alpha 90.00
_cell_angle_beta 90.00
_cell_angle_gamma 120.00
_space_group_name_H-M_alt 'R -3 m'
_space_group_IT_number 166
_space_group_name_Hall '-R 3 2"'
loop_
_atom_site_label
_atom_site_fract_x
_atom_site_fract_y
_atom_site_fract_z
_atom_site_occupancy
Be1 0.0000 0.0000 0.0000 1
H1 0.0000 0.0000 0.5000 1
Rh1 0.0000 0.0000 0.2362 1
# Energy above the lowest structure with this stoichiometry ... 0.027 eV per atom
# Energy ... -5.628 eV per atom
# Total magnetization ... 0.0000 μB per atom

---

# 7
# PmSm9Y2, optimized geometry, DFT GGA-PBE
data_PmSm9Y2
_cell_length_a 5.1201
_cell_length_b 5.1201
_cell_length_c 15.3546
_cell_angle_alpha 90.00
_cell_angle_beta 90.00
_cell_angle_gamma 90.00
_space_group_name_H-M_alt 'P 4/m m m'
_space_group_IT_number 123
_space_group_name_Hall '-P 4 2'
loop_
_atom_site_label
_atom_site_fract_x
_atom_site_fract_y
_atom_site_fract_z
_atom_site_occupancy
Pm1 0.0000 0.0000 0.0000 1
Sm1 0.0000 0.5000 0.1674 1
Sm2 0.0000 0.5000 0.5000 1
Sm3 0.5000 0.5000 0.0000 1
Sm4 0.5000 0.5000 0.3342 1
Y1 0.0000 0.0000 0.3339 1
# Energy ... -4.995 eV per atom
# Total magnetization ... 0.0000 μB per atom
# Calculated formation energy ... 18 meV/atom

---

# 8
# PrLuScTl, optimized geometry, DFT GGA-PBE
data_PrLuScTl
_cell_length_a 7.6189
_cell_length_b 7.6189
_cell_length_c 7.6189
_cell_angle_alpha 90.00
_cell_angle_beta 90.00
_cell_angle_gamma 90.00
_space_group_name_H-M_alt 'F -4 3 m'
_space_group_IT_number 216
_space_group_name_Hall 'F -4 2 3'
loop_
_atom_site_label
_atom_site_fract_x
_atom_site_fract_y
_atom_site_fract_z
_atom_site_occupancy
Pr1 0.0000 0.0000 0.0000 1
Lu1 0.2500 0.2500 0.2500 1
Sc1 0.0000 0.0000 0.5000 1
Tl1 0.2500 0.2500 0.7500 1
# Energy ... -4.533 eV per atom
# Total magnetization ... 0.1265 μB per atom
# Calculated formation energy ... -33 meV/atom

---

What did the eighth record say?
# PrLuScTl, optimized geometry, DFT GGA-PBE
data_PrLuScTl
_cell_length_a 7.6189
_cell_length_b 7.6189
_cell_length_c 7.6189
_cell_angle_alpha 90.00
_cell_angle_beta 90.00
_cell_angle_gamma 90.00
_space_group_name_H-M_alt 'F -4 3 m'
_space_group_IT_number 216
_space_group_name_Hall 'F -4 2 3'
loop_
_atom_site_label
_atom_site_fract_x
_atom_site_fract_y
_atom_site_fract_z
_atom_site_occupancy
Pr1 0.0000 0.0000 0.0000 1
Lu1 0.2500 0.2500 0.2500 1
Sc1 0.0000 0.0000 0.5000 1
Tl1 0.2500 0.2500 0.7500 1
# Energy ... -4.533 eV per atom
# Total magnetization ... 0.1265 μB per atom
# Calculated formation energy ... -33 meV/atom

---

The lowest energy belongs to which entry?
CePPt

---

What is the formula in the fourth record?
Cd2In2Ge